VCS2N | the Alexandria database | PBE | relaxed; E = -6.139 eV per atom; distance to the lowest polymorph of the same formula = 0.0 meV/atom; formation energy (no corrections) = 846 meV per atom
1.0
5.2416 0.0000 0.0000
0.0000 5.2416 0.0000
0.0000 0.0000 2.4837
S N C V
2 1 1 1
Direct
0.0000 0.5000 0.0000 S
0.5000 0.0000 0.0000 S
0.0000 0.0000 0.5000 N
0.0000 0.0000 0.0000 C
0.5000 0.5000 0.5000 V


VCS2N | the Alexandria database | PBE | relaxed; E = -5.563 eV per atom; distance to the lowest polymorph of the same formula = 576.3 meV/atom; formation energy (no corrections) = 1422 meV per atom
1.0
4.6348 0.0000 0.0000
0.0000 4.6348 0.0000
0.0000 0.0000 3.5817
S N C V
2 1 1 1
Direct
0.0000 0.5000 0.0000 S
0.5000 0.0000 0.0000 S
0.0000 0.0000 0.5000 N
0.5000 0.5000 0.5000 C
0.0000 0.0000 0.0000 V


WCS2N | the Alexandria database | PBE | relaxed; E = -6.249 eV per atom; distance to the lowest polymorph of the same formula = 212.8 meV/atom; formation energy (no corrections) = 1503 meV per atom
1.0
-2.0507 3.6406 -2.2782
-4.2947 -1.7366 1.0907
0.0025 2.0263 3.2359
S C W N
2 1 1 1
Direct
0.0000 0.5000 0.0000 S
0.5000 0.0000 0.0000 S
0.5000 0.5000 0.5000 C
0.0000 0.0000 0.0000 W
0.0000 0.0000 0.5000 N


WCS2N | the Alexandria database | PBE | relaxed; E = -6.462 eV per atom; distance to the lowest polymorph of the same formula = 0.0 meV/atom; formation energy (no corrections) = 1290 meV per atom
1.0
-5.1261 0.9823 0.6830
-0.9514 -5.1689 0.2939
0.3434 0.0770 2.4665
S C W N
2 1 1 1
Direct
0.0000 0.5000 0.0000 S
0.5000 0.0000 0.0000 S
0.0000 0.0000 0.0000 C
0.5000 0.5000 0.5000 W
0.0000 0.0000 0.5000 N


YCSN2 | the Alexandria database | PBE | relaxed; E = -6.255 eV per atom; distance to the lowest polymorph of the same formula = 0.0 meV/atom; formation energy (no corrections) = 1039 meV per atom
1.0
-1.6508 -0.2961 -3.4858
3.1748 -1.7459 -1.3552
-1.4512 -3.3963 0.9758
Y S C N
1 1 1 2
Direct
0.5000 0.5000 0.5000 Y
0.0000 0.0000 0.5000 S
0.0000 0.0000 0.0000 C
0.0000 0.5000 0.0000 N
0.5000 0.0000 0.0000 N


YCS2N | the Alexandria database | PBE | relaxed; E = -4.805 eV per atom; distance to the lowest polymorph of the same formula = 1042.5 meV/atom; formation energy (no corrections) = 1649 meV per atom
1.0
5.3281 0.0000 0.0000
0.0000 5.3281 0.0000
0.0000 0.0000 4.5832
Y S C N
1 2 1 1
Direct
0.0000 0.0000 0.0000 Y
0.0000 0.5000 0.0000 S
0.5000 0.0000 0.0000 S
0.5000 0.5000 0.5000 C
0.0000 0.0000 0.5000 N


Y6CS2N2 | the Alexandria database | PBE | relaxed; E = -8.037 eV per atom; formation energy (no corrections) = -1409 meV per atom
1.0
-1.0126 6.2899 0.2245
-4.6110 -3.9590 1.9245
4.0089 -0.6035 4.8473
Y C S N
6 1 2 2
Direct
0.7943 0.7943 0.7572 Y
0.0726 0.4021 0.7694 Y
0.2057 0.2057 0.2428 Y
0.4021 0.0726 0.7694 Y
0.9274 0.5979 0.2306 Y
0.5979 0.9274 0.2306 Y
0.0000 0.0000 0.5000 C
0.3370 0.6630 0.5000 S
0.6630 0.3370 0.5000 S
0.8329 0.1671 0.0000 N
0.1671 0.8329 0.0000 N


Y6CS3N2 | the Alexandria database | PBE | relaxed; E = -8.109 eV per atom; formation energy (no corrections) = -1688 meV per atom
1.0
6.3467 -0.0012 0.0018
-3.1728 5.4967 0.0018
-1.0568 -1.8299 6.2858
Y C S N
6 1 3 2
Direct
0.9296 0.5960 0.7885 Y
0.7367 0.7367 0.2112 Y
0.0704 0.4040 0.2115 Y
0.5960 0.9296 0.7885 Y
0.2633 0.2633 0.7888 Y
0.4040 0.0704 0.2115 Y
0.0000 0.0000 0.0000 C
0.1664 0.8336 0.5000 S
0.8336 0.1664 0.5000 S
0.5000 0.5000 0.5000 S
0.3334 0.6666 0.0000 N
0.6666 0.3334 0.0000 N


Y4CS2N | the Alexandria database | PBE | relaxed; E = -8.055 eV per atom; formation energy (no corrections) = -1597 meV per atom
1.0
-2.4765 -2.0078 1.8451
4.7091 -2.9282 3.1341
-1.8084 5.3888 3.4367
Y C S N
4 1 2 1
Direct
0.5000 0.2378 0.2108 Y
0.5000 0.7622 0.7892 Y
0.0000 0.2628 0.7864 Y
0.0000 0.7372 0.2136 Y
0.5000 0.5000 0.0000 C
0.5000 0.0000 0.5000 S
0.0000 0.5000 0.5000 S
0.0000 0.0000 0.0000 N


Y8C3S3N | the Alexandria database | PBE | relaxed; E = -7.924 eV per atom; formation energy (no corrections) = -1252 meV per atom
1.0
7.3685 0.0000 0.0000
-3.6842 6.3814 -0.0226
0.0000 -4.2320 6.3147
Y C S N
8 3 3 1
Direct
0.2617 0.5235 0.2853 Y
0.7383 0.4765 0.7147 Y
0.7616 0.5233 0.2878 Y
0.2384 0.4767 0.7122 Y
0.7615 0.0261 0.2877 Y
0.2385 0.9739 0.7123 Y
0.2646 0.0261 0.2877 Y
0.7354 0.9739 0.7123 Y
0.5000 0.0000 0.5000 C
0.5000 0.5000 0.5000 C
0.0000 0.5000 0.5000 C
0.0000 0.0000 0.0000 S
0.0000 0.5000 0.0000 S
0.5000 0.5000 0.0000 S
0.0000 0.0000 0.5000 N


YC2SN | the Alexandria database | PBE | relaxed; E = -6.236 eV per atom; formation energy (no corrections) = 1237 meV per atom
1.0
3.5707 0.0000 0.0000
0.0000 4.2576 0.0000
0.0000 0.0000 3.5707
Y S C N
1 1 2 1
Direct
0.5000 0.5000 0.5000 Y
0.0000 0.0000 0.0000 S
0.0000 0.0000 0.5000 C
0.5000 0.0000 0.0000 C
0.0000 0.5000 0.0000 N


Y6C2S2N | the Alexandria database | PBE | relaxed; E = -7.960 eV per atom; formation energy (no corrections) = -1250 meV per atom
1.0
6.3353 -0.0089 0.0627
-3.1390 5.5030 0.0627
-1.1340 -1.9493 6.2386
Y C S N
6 2 2 1
Direct
0.7402 0.7402 0.7108 Y
0.0703 0.4035 0.7136 Y
0.2598 0.2598 0.2892 Y
0.4035 0.0703 0.7136 Y
0.9297 0.5965 0.2864 Y
0.5965 0.9297 0.2864 Y
0.3312 0.6688 0.5000 C
0.6688 0.3312 0.5000 C
0.8331 0.1669 0.0000 S
0.1669 0.8331 0.0000 S
0.0000 0.0000 0.5000 N